# 1
First-principles (GGA-PBE) data for a geometry-optimized Tb2NpVN5 structure, as listed in Alexandria.

D(E_F) = 10.53 states/eV/cell

Lattice parameters (Å, degrees): 7.0043 7.0043 10.1505 90.00 90.00 151.72
Atoms (fractional coordinates):
Tb 0.1055 0.8945 0.5000
Tb 0.1376 0.8624 0.1160
Tb 0.8624 0.1376 0.6160
Tb 0.8945 0.1055 0.0000
Np 0.2084 0.7916 0.8242
Np 0.7916 0.2084 0.3242
V 0.4849 0.5151 0.2731
V 0.5151 0.4849 0.7731
N 0.0426 0.9574 0.8511
N 0.2834 0.7166 0.4679
N 0.3164 0.6836 0.1937
N 0.3739 0.6261 0.8187
N 0.4913 0.5087 0.5992
N 0.5087 0.4913 0.0992
N 0.6261 0.3739 0.3187
N 0.6836 0.3164 0.6937
N 0.7166 0.2834 0.9679
N 0.9574 0.0426 0.3511

---

# 2
First-principles (GGA-PBE) data for a geometry-optimized Tb2NpWN6 structure, as listed in Alexandria.

D(E_F) = 1.95 states/eV/cell

Lattice parameters (Å, degrees): 5.6567 5.6567 4.4352 90.00 90.00 90.00
Atoms (fractional coordinates):
Tb 0.0000 0.5000 0.0000
Tb 0.5000 0.0000 0.0000
Np 0.0000 0.0000 0.6092
W 0.5000 0.5000 0.5712
N 0.0000 0.0000 0.1336
N 0.2586 0.2586 0.6928
N 0.2586 0.7414 0.6928
N 0.5000 0.5000 0.1630
N 0.7414 0.2586 0.6928
N 0.7414 0.7414 0.6928

---

# 3
First-principles (GGA-PBE) data for a geometry-optimized TbY2NpN4 structure, as listed in Alexandria.

D(E_F) = 6.18 states/eV/cell

Lattice parameters (Å, degrees): 5.9942 3.4722 5.9959 90.00 109.01 90.00
Atoms (fractional coordinates):
Tb 0.0000 0.0000 0.0000
Y 0.5000 0.0000 0.5000
Y 0.5000 0.5000 0.0000
Np 0.0000 0.5000 0.5000
N 0.2395 0.5000 0.2617
N 0.2422 0.0000 0.7413
N 0.7578 0.0000 0.2587
N 0.7605 0.5000 0.7383

---

# 4
First-principles (GGA-PBE) data for a geometry-optimized Tb3Y2NpN6 structure, as listed in Alexandria.

D(E_F) = 7.14 states/eV/cell

Lattice parameters (Å, degrees): 6.0143 6.0143 6.0106 99.58 99.58 120.02
Atoms (fractional coordinates):
Tb 0.0000 0.0000 0.0000
Tb 0.3321 0.6679 0.0000
Tb 0.6679 0.3321 0.0000
Y 0.1666 0.8334 0.5000
Y 0.8334 0.1666 0.5000
Np 0.5000 0.5000 0.5000
N 0.1014 0.4197 0.2593
N 0.2627 0.2627 0.7385
N 0.4197 0.1014 0.2593
N 0.5803 0.8986 0.7407
N 0.7373 0.7373 0.2615
N 0.8986 0.5803 0.7407

---

# 5
First-principles (GGA-PBE) data for a geometry-optimized Tb2ZrNpN4 structure, as listed in Alexandria.

D(E_F) = 6.96 states/eV/cell

Lattice parameters (Å, degrees): 5.8990 3.4125 5.9151 90.00 109.02 90.00
Atoms (fractional coordinates):
Tb 0.0000 0.0000 0.0000
Tb 0.5000 0.5000 0.0000
Zr 0.0000 0.5000 0.5000
Np 0.5000 0.0000 0.5000
N 0.2432 0.0000 0.7297
N 0.2512 0.5000 0.2669
N 0.7488 0.5000 0.7331
N 0.7568 0.0000 0.2703

---

# 6
First-principles (GGA-PBE) data for a geometry-optimized TbZrNp2N4 structure, as listed in Alexandria.

D(E_F) = 11.96 states/eV/cell

Lattice parameters (Å, degrees): 5.9031 3.3971 5.9100 90.00 109.36 90.00
Atoms (fractional coordinates):
Tb 0.0000 0.0000 0.0000
Zr 0.5000 0.5000 0.0000
Np 0.0000 0.5000 0.5000
Np 0.5000 0.0000 0.5000
N 0.2620 0.0000 0.7530
N 0.2644 0.5000 0.2551
N 0.7356 0.5000 0.7449
N 0.7380 0.0000 0.2470

---

In μB per formula unit, the size of the total moment values for the records above are, in order, 2.99, 0.99, 3.06, 2.65, 3.10, 6.06.
In meV/atom, the energy relative to the elements, uncorrected values for the records above are, in order, -1263, -974, -1539, -1594, -1549, -1399.